The following is a GGA-PBEsol calculation of a geometry-optimized Re2RuF structure, from the Alexandria database.

Cell lengths 5.959, 5.959, 5.959 Å; angles 90.00, 90.00, 90.00 degrees
Space group Fm-3m (No. 225)
Symmetry-distinct sites (fractional):
Re 0.250 0.250 0.250 [8 per cell]
Ru 0.000 0.000 0.000 [4 per cell]
F 0.000 0.000 0.500 [4 per cell]

---

The following is a GGA-PBEsol calculation of a geometry-optimized ReTcRu2F structure, from the Alexandria database.

Cell lengths 4.651, 4.651, 4.687 Å; angles 90.00, 90.00, 90.00 degrees
Space group P4/mmm (No. 123)
Symmetry-distinct sites (fractional):
Re 0.000 0.000 0.000 [1 per cell]
Tc 0.000 0.000 0.500 [1 per cell]
Ru 0.000 0.500 0.000 [2 per cell]
F 0.500 0.500 0.500 [1 per cell]

---

The following is a GGA-PBEsol calculation of a geometry-optimized ReTc2RuF structure, from the Alexandria database.

Cell lengths 4.666, 4.666, 4.654 Å; angles 90.00, 90.00, 90.00 degrees
Space group P4/mmm (No. 123)
Symmetry-distinct sites (fractional):
Re 0.000 0.000 0.000 [1 per cell]
Tc 0.000 0.500 0.000 [2 per cell]
Ru 0.000 0.000 0.500 [1 per cell]
F 0.500 0.500 0.500 [1 per cell]

---

The following is a GGA-PBEsol calculation of a geometry-optimized ReS3F structure, from the Alexandria database.

Cell lengths 4.521, 4.521, 4.521 Å; angles 90.00, 90.00, 90.00 degrees
Space group Pm-3m (No. 221)
Symmetry-distinct sites (fractional):
Re 0.000 0.000 0.000 [1 per cell]
S 0.000 0.000 0.500 [3 per cell]
F 0.500 0.500 0.500 [1 per cell]

---

The following is a GGA-PBEsol calculation of a geometry-optimized Re2SF structure, from the Alexandria database.

Cell lengths 5.746, 5.746, 5.746 Å; angles 90.00, 90.00, 90.00 degrees
Space group Fm-3m (No. 225)
Symmetry-distinct sites (fractional):
Re 0.250 0.250 0.250 [8 per cell]
S 0.000 0.000 0.000 [4 per cell]
F 0.000 0.000 0.500 [4 per cell]

---

The following is a GGA-PBEsol calculation of a geometry-optimized Sc3ReF structure, from the Alexandria database.

Cell lengths 5.030, 5.030, 5.030 Å; angles 90.00, 90.00, 90.00 degrees
Space group Pm-3m (No. 221)
Symmetry-distinct sites (fractional):
Sc 0.000 0.000 0.500 [3 per cell]
Re 0.000 0.000 0.000 [1 per cell]
F 0.500 0.500 0.500 [1 per cell]

## Properties
Energy relative to the lowest polymorph listed for this composition = 886 meV/atom

---

The following is a GGA-PBEsol calculation of a geometry-optimized Sc3ReF structure, from the Alexandria database.

Cell lengths 4.322, 4.322, 4.322 Å; angles 90.00, 90.00, 90.00 degrees
Space group Pm-3m (No. 221)
Symmetry-distinct sites (fractional):
Sc 0.000 0.000 0.500 [3 per cell]
Re 0.500 0.500 0.500 [1 per cell]
F 0.000 0.000 0.000 [1 per cell]

## Properties
Energy relative to the lowest polymorph listed for this composition = 0 meV/atom

---

The following is a GGA-PBEsol calculation of a geometry-optimized ZrScRe2F structure, from the Alexandria database.

Cell lengths 4.657, 4.657, 5.560 Å; angles 90.00, 90.00, 90.00 degrees
Space group P4/mmm (No. 123)
Symmetry-distinct sites (fractional):
Zr 0.000 0.000 0.000 [1 per cell]
Sc 0.000 0.000 0.500 [1 per cell]
Re 0.000 0.500 0.000 [2 per cell]
F 0.500 0.500 0.500 [1 per cell]

---

no.,raw formation energy (eV/atom),Fermi-level density of states (states/eV/f.u.)
1,0.395,2.73
2,1.890,5.04
3,1.917,5.42
4,0.102,3.70
5,0.351,2.69
6,0.080,4.73
7,-0.806,4.43
8,1.891,6.94